[1]
{"formula": "Ac3Ru5O12", "functional": "PBE", "state": "optimized geometry", "lattice_angstrom": [[11.414, 0.000, 0.000], [-3.805, 10.761, 0.000], [-3.805, -5.381, 9.319]], "species": ["Ru", "O", "O", "Ac", "O", "O", "Ac", "O", "O", "O", "Ru", "O", "O", "Ru", "Ac", "O", "O", "O", "O", "Ru", "O", "O", "Ru", "Ru", "O", "Ru", "O", "O", "Ac", "O", "O", "O", "O", "Ac", "O", "O", "Ru", "O", "Ac", "O", "O", "Ru", "O", "Ru", "O", "O", "O", "Ru", "O", "Ru", "O", "O", "Ac", "Ru", "Ru", "O", "Ru", "Ac", "O", "O", "Ru", "Ru", "O", "Ru", "Ac", "O", "O", "Ru", "O", "O", "Ac", "O", "Ru", "Ac", "O", "O", "O", "Ac", "O", "O"], "fractional_positions": [[0.875, 0.625, 0.750], [0.084, 0.176, 0.197], [0.408, 0.386, 0.584], [0.875, 0.125, 0.250], [0.416, 0.303, 0.324], [0.916, 0.092, 0.614], [0.875, 0.750, 0.125], [0.092, 0.176, 0.478], [0.084, 0.908, 0.386], [0.197, 0.676, 0.084], [0.000, 0.000, 0.000], [0.676, 0.478, 0.592], [0.697, 0.584, 0.176], [0.500, 0.000, 0.500], [0.625, 0.375, 0.750], [0.176, 0.092, 0.978], [0.092, 0.916, 0.114], [0.522, 0.197, 0.114], [0.386, 0.978, 0.803], [0.125, 0.750, 0.375], [0.916, 0.824, 0.803], [0.614, 0.592, 0.916], [0.625, 0.750, 0.875], [0.500, 0.500, 0.500], [0.303, 0.416, 0.824], [0.250, 0.875, 0.125], [0.592, 0.978, 0.676], [0.584, 0.886, 0.408], [0.375, 0.750, 0.625], [0.408, 0.022, 0.324], [0.303, 0.886, 0.978], [0.886, 0.584, 0.908], [0.886, 0.303, 0.478], [0.125, 0.875, 0.750], [0.592, 0.614, 0.416], [0.114, 0.416, 0.092], [0.000, 0.500, 0.000], [0.908, 0.824, 0.522], [0.250, 0.125, 0.375], [0.478, 0.803, 0.886], [0.803, 0.324, 0.916], [0.250, 0.375, 0.625], [0.584, 0.697, 0.676], [0.375, 0.125, 0.750], [0.908, 0.084, 0.886], [0.824, 0.916, 0.303], [0.022, 0.614, 0.697], [0.125, 0.375, 0.250], [0.386, 0.408, 0.084], [0.750, 0.125, 0.875], [0.416, 0.114, 0.592], [0.614, 0.022, 0.197], [0.250, 0.625, 0.875], [0.875, 0.250, 0.625], [0.625, 0.875, 0.250], [0.022, 0.408, 0.824], [0.000, 0.000, 0.500], [0.750, 0.375, 0.125], [0.803, 0.478, 0.386], [0.176, 0.084, 0.697], [0.500, 0.500, 0.000], [0.750, 0.625, 0.375], [0.978, 0.592, 0.176], [0.500, 0.000, 0.000], [0.125, 0.250, 0.875], [0.697, 0.114, 0.022], [0.676, 0.197, 0.584], [0.375, 0.250, 0.125], [0.197, 0.522, 0.614], [0.824, 0.908, 0.022], [0.625, 0.250, 0.375], [0.978, 0.386, 0.303], [0.000, 0.500, 0.500], [0.375, 0.625, 0.250], [0.324, 0.522, 0.408], [0.114, 0.697, 0.522], [0.478, 0.676, 0.092], [0.750, 0.875, 0.625], [0.522, 0.324, 0.908], [0.324, 0.803, 0.416]]}

=====

[2]
{"formula": "USiP2", "functional": "PBE", "state": "optimized geometry", "lattice_angstrom": [[3.136, 0.000, 0.000], [1.568, 2.715, 0.000], [1.568, 0.905, 8.647]], "species": ["U", "P", "P", "Si"], "fractional_positions": [[0.000, 0.000, 0.000], [0.892, 0.892, 0.325], [0.108, 0.108, 0.675], [0.500, 0.500, 0.500]], "polymorph_energy_ev_per_fu": 2.94}

=====

[3]
{"formula": "TcAu2Br", "functional": "PBE", "state": "optimized geometry", "lattice_angstrom": [[5.937, 0.049, 0.000], [3.326, 4.918, 0.000], [-4.631, -2.483, 2.763]], "species": ["Tc", "Au", "Au", "Br"], "fractional_positions": [[0.750, 0.250, 0.500], [0.500, 0.500, 0.000], [0.000, 0.000, 0.000], [0.250, 0.750, 0.500]], "polymorph_energy_ev_per_fu": 1.77}

=====

Ordered energy relative to the elements, uncorrected results: -1.54, 0.24, 0.79; unit eV/atom.
Ordered E_tot results: -596.192, -26.558, -15.453; unit eV per cell.